# Tl2CdB

A geometry-optimized Tl2CdB structure (GGA-PBE, Alexandria via LeMat-Bulk).

abc: 6.4897 6.4897 10.7941
angles: 90.00 90.00 90.00
Atoms (fractional coordinates):
Tl1 0.1303 0.2500 0.1250
Tl2 0.2500 0.6303 0.3750
Tl3 0.2500 0.8697 0.8750
Tl4 0.3697 0.2500 0.6250
Tl5 0.6303 0.7500 0.6250
Tl6 0.7500 0.1303 0.8750
Tl7 0.7500 0.3697 0.3750
Tl8 0.8697 0.7500 0.1250
Cd1 0.0000 0.0000 0.5000
Cd2 0.0000 0.5000 0.7500
Cd3 0.5000 0.0000 0.2500
Cd4 0.5000 0.5000 0.0000
B1 0.0000 0.0000 0.0000
B2 0.0000 0.5000 0.2500
B3 0.5000 0.0000 0.7500
B4 0.5000 0.5000 0.5000

Output
* total moment: 0.000 μB/f.u.
* E_form: 72.05 kJ/mol of atoms


# FeTeS2N

A geometry-optimized FeTeS2N structure (GGA-PBE, Alexandria via LeMat-Bulk).

abc: 5.0875 5.0875 3.8756
angles: 90.00 90.00 90.00
Atoms (fractional coordinates):
Fe1 0.0000 0.0000 0.0000
Te1 0.5000 0.5000 0.5000
S1 0.0000 0.5000 0.5000
S2 0.5000 0.0000 0.5000
N1 0.5000 0.5000 0.0000

Output
* total moment: 3.866 μB/f.u.
* formation energy from raw total energies: 1.247 eV per atom


# Cs3PrTe2O8

A geometry-optimized Cs3PrTe2O8 structure (GGA-PBE, Alexandria via LeMat-Bulk).

abc: 6.6248 6.6248 8.7154
angles: 90.00 90.00 120.00
Atoms (fractional coordinates):
Cs1 0.0000 0.0000 0.0000
Cs2 0.3333 0.6667 0.7639
Cs3 0.6667 0.3333 0.2361
Pr1 0.0000 0.0000 0.5000
Te1 0.3333 0.6667 0.2967
Te2 0.6667 0.3333 0.7033
O1 0.1639 0.3279 0.3291
O2 0.1639 0.8361 0.3291
O3 0.3279 0.1639 0.6709
O4 0.3333 0.6667 0.0843
O5 0.6667 0.3333 0.9157
O6 0.6721 0.8361 0.3291
O7 0.8361 0.1639 0.6709
O8 0.8361 0.6721 0.6709

Output
* total moment: 1.702 μB/f.u.
* formation energy from raw total energies: -1.618 eV per atom


# TlIr3Cl

A geometry-optimized TlIr3Cl structure (GGA-PBE, Alexandria via LeMat-Bulk).

abc: 5.0957 5.0957 5.0957
angles: 90.00 90.00 90.00
Atoms (fractional coordinates):
Tl1 0.0000 0.0000 0.0000
Ir1 0.0000 0.0000 0.5000
Ir2 0.0000 0.5000 0.0000
Ir3 0.5000 0.0000 0.0000
Cl1 0.5000 0.5000 0.5000

Output
* total moment: 4.215 μB/f.u.
* formation energy from raw total energies: 2.520 eV per atom


| no. | VASP energy (eV per atom) |
| --- | --- |
| 1 | -2.3345 |
| 2 | -4.3902 |
| 3 | -5.4244 |
| 4 | -3.6391 |